(1)
## SrTa2P (PBE-GGA)

Data for crystalline SrTa2P at its relaxed geometry.

Structure (POSCAR):
```
SrTa2P
1.0
3.524 0.000 0.000
-1.762 3.052 0.000
0.000 0.000 25.604
Sr Ta P
3 6 3
Direct
0.000 0.000 0.000
0.333 0.667 0.667
0.667 0.333 0.333
0.000 0.000 0.218
0.000 0.000 0.782
0.333 0.667 0.449
0.333 0.667 0.884
0.667 0.333 0.116
0.667 0.333 0.551
0.000 0.000 0.500
0.333 0.667 0.167
0.667 0.333 0.833
```

Results
* total moment: 0.00 Bohr magnetons per cell
* ΔE_f: 0.7 eV/f.u.
* SG: R-3m
* ρ: 8.69 g cm⁻³

***

(2)
## PuU2Ge2Pt2 (PBE-GGA)

Data for crystalline PuU2Ge2Pt2 at its relaxed geometry.

Structure (POSCAR):
```
PuU2Ge2Pt2
1.0
2.229 1.287 8.300
-2.229 1.287 8.300
0.000 -2.574 8.300
Pu U Ge Pt
1 2 2 2
Direct
0.000 0.000 0.000
0.144 0.144 0.144
0.856 0.856 0.856
0.268 0.268 0.268
0.732 0.732 0.732
0.427 0.427 0.427
0.573 0.573 0.573
```

Results
* total moment: 10.17 Bohr magnetons per cell
* ΔE_f: -3.7 eV/f.u.
* SG: R-3m
* ρ: 14.60 g cm⁻³

***

(3)
## NaCdIn2Pt (PBE-GGA)

Data for crystalline NaCdIn2Pt at its relaxed geometry.

Structure (POSCAR):
```
NaCdIn2Pt
1.0
5.172 0.000 0.000
0.000 5.172 0.000
0.000 0.000 5.526
Na Cd In Pt
1 1 2 1
Direct
0.000 0.000 0.000
0.500 0.500 0.000
0.000 0.500 0.500
0.500 0.000 0.500
0.000 0.000 0.500
```

Results
* energy relative to the lowest polymorph listed for this composition: 64 meV/atom
* total moment: 0.00 Bohr magnetons per cell
* ΔE_f: -0.7 eV/f.u.
* SG: P4/mmm
* ρ: 6.29 g cm⁻³

***

(4)
## Ac3EuH (PBE-GGA)

Data for crystalline Ac3EuH at its relaxed geometry.

Structure (POSCAR):
```
Ac3EuH
1.0
5.581 0.000 0.000
0.000 5.581 0.000
0.000 0.000 5.581
Ac Eu H
3 1 1
Direct
0.000 0.000 0.500
0.000 0.500 0.000
0.500 0.000 0.000
0.500 0.500 0.500
0.000 0.000 0.000
```

Results
* total moment: 7.30 Bohr magnetons per cell
* total DFT energy (no corrections): -5.33 eV/atom
* SG: Pm-3m
* ρ: 7.97 g cm⁻³

***

(5)
## Sc2InW (PBE-GGA)

Data for crystalline Sc2InW at its relaxed geometry.

Structure (POSCAR):
```
Sc2InW
1.0
3.135 0.000 0.000
-1.567 2.715 0.000
0.000 0.000 29.281
Sc In W
6 3 3
Direct
0.000 0.000 0.244
0.000 0.000 0.756
0.333 0.667 0.422
0.333 0.667 0.911
0.667 0.333 0.089
0.667 0.333 0.578
0.000 0.000 0.000
0.333 0.667 0.667
0.667 0.333 0.333
0.000 0.000 0.500
0.333 0.667 0.167
0.667 0.333 0.833
```

Results
* total moment: 0.00 Bohr magnetons per cell
* ΔE_f: 0.4 eV/f.u.
* SG: R-3m
* ρ: 7.77 g cm⁻³

***

(6)
## Li2LaCrCl (PBE-GGA)

Data for crystalline Li2LaCrCl at its relaxed geometry.

Structure (POSCAR):
```
Li2LaCrCl
1.0
4.536 0.000 0.000
0.000 4.536 0.000
0.000 0.000 5.814
Li La Cr Cl
2 1 1 1
Direct
0.000 0.500 0.000
0.500 0.000 0.000
0.000 0.000 0.500
0.500 0.500 0.500
0.000 0.000 0.000
```

Results
* total moment: 4.39 Bohr magnetons per cell
* formation energy without anion corrections: -0.21 eV per atom
* SG: P4/mmm
* ρ: 3.34 g cm⁻³